First-principles (PBE) data for a relaxed Mn3Al2 crystal, as listed in the Alexandria database.

For the energy of formation, the calculation gives 0.19 eV per atom. The calculation puts the calculated total energy at -6.81 eV/atom. The value obtained for the spin magnetization is 8.3 μB per cell.

The structure belongs to space group P-3m1 (No. 164); the cell edges are 4.1210, 4.1210 and 5.0950 Å and the angles 90.00°, 90.00° and 120.00°. Symmetry generates all atoms from Mn at (0.0000, 0.0000, 0.0000), Mn at (0.3333, 0.6667, 0.3460) and Al at (0.3333, 0.6667, 0.8360).

=====

First-principles (PBE) data for a relaxed Rb2Hg2I5 crystal, as listed in the Alexandria database.

The calculation puts the calculated total energy at -1.93 eV/atom. The value obtained for the spin magnetization is 0.0 μB per cell. Its formation energy without anion corrections is -0.786 eV/atom.

The structure belongs to space group Ima2 (No. 46); the cell edges are 23.892, 8.857 and 8.446 Å and the angles 90.00°, 90.00° and 90.00°. Symmetry generates all atoms from Rb at (0.102, 0.019, 0.000), Hg at (0.000, 0.000, 0.494), Hg at (0.250, 0.567, 0.026), I at (0.006, 0.748, 0.245), I at (0.143, 0.051, 0.471) and I at (0.250, 0.619, 0.391).

=====

First-principles (PBE) data for a relaxed ReHgHW2 crystal, as listed in the Alexandria database.

The calculation puts the calculated total energy at -4.48 eV/atom. The value obtained for the spin magnetization is 0.0 μB per cell.

The structure belongs to space group P4/mmm (No. 123); the cell edges are 4.956, 4.956 and 4.938 Å and the angles 90.00°, 90.00° and 90.00°. Symmetry generates all atoms from Re at (0.000, 0.000, 0.000), Hg at (0.000, 0.000, 0.500), H at (0.500, 0.500, 0.000) and W at (0.000, 0.500, 0.500).

=====

First-principles (PBE) data for a relaxed SmCdGa crystal, as listed in the Alexandria database.

For the energy of formation, the calculation gives -0.42 eV per atom. The calculation puts the calculated total energy at -3.31 eV/atom. The value obtained for the spin magnetization is 0.0 μB per cell.

The structure belongs to space group F-43m (No. 216); the cell edges are 6.754, 6.754 and 6.754 Å and the angles 90.00°, 90.00° and 90.00°. Symmetry generates all atoms from Sm at (0.000, 0.000, 0.000), Cd at (0.000, 0.000, 0.500) and Ga at (0.250, 0.250, 0.750).

=====

First-principles (PBE) data for a relaxed BaSrH2Ru crystal, as listed in the Alexandria database.

The calculation puts the calculated total energy at -3.22 eV/atom. The value obtained for the spin magnetization is 1.9 μB per cell.

The structure belongs to space group P4/mmm (No. 123); the cell edges are 4.476, 4.476 and 9.608 Å and the angles 90.00°, 90.00° and 90.00°. Symmetry generates all atoms from Ba at (0.000, 0.000, 0.000), Sr at (0.000, 0.000, 0.500), H at (0.000, 0.500, 0.500) and Ru at (0.500, 0.500, 0.000).

=====

First-principles (PBE) data for a relaxed Ce2ErRh2 crystal, as listed in the Alexandria database.

For the energy of formation, the calculation gives -0.65 eV per atom. The calculation puts the calculated total energy at -6.88 eV/atom. The value obtained for the spin magnetization is 0.3 μB per cell.

The structure belongs to space group P4/mbm (No. 127); the cell edges are 7.726, 7.726 and 3.855 Å and the angles 90.00°, 90.00° and 90.00°. Symmetry generates all atoms from Ce at (0.164, 0.336, 0.000), Er at (0.000, 0.000, 0.500) and Rh at (0.142, 0.642, 0.500).

=====

First-principles (PBE) data for a relaxed Sm6HoTm2Sc crystal, as listed in the Alexandria database.

For the energy of formation, the calculation gives 0.24 eV per atom. The calculation puts the calculated total energy at -4.58 eV/atom. The value obtained for the spin magnetization is 0.0 μB per cell.

The structure belongs to space group C2/m (No. 12); the cell edges are 10.031, 7.603 and 8.805 Å and the angles 90.00°, 102.09° and 90.00°. Symmetry generates all atoms from Sm at (0.134, 0.215, 0.285), Sm at (0.155, 0.500, 0.943), Ho at (0.000, 0.500, 0.500), Tm at (0.132, 0.000, 0.639) and Sc at (0.000, 0.000, 0.000).

=====

First-principles (PBE) data for a relaxed K2PuCl2F4 crystal, as listed in the Alexandria database.

The calculation puts the calculated total energy at -5.80 eV/atom. The value obtained for the spin magnetization is 8.0 μB per cell. Its formation energy without anion corrections is -2.720 eV/atom.

The structure belongs to space group I4/mmm (No. 139); the cell edges are 6.658, 6.658 and 9.991 Å and the angles 90.00°, 90.00° and 90.00°. Symmetry generates all atoms from K at (0.000, 0.500, 0.250), Pu at (0.000, 0.000, 0.000), Cl at (0.000, 0.000, 0.266) and F at (0.224, 0.224, 0.000).

=====

First-principles (PBE) data for a relaxed NaSmZnAu crystal, as listed in the Alexandria database.

For the energy of formation, the calculation gives -0.34 eV per atom. The calculation puts the calculated total energy at -2.99 eV/atom. The value obtained for the spin magnetization is 0.0 μB per cell.

The structure belongs to space group F-43m (No. 216); the cell edges are 7.133, 7.133 and 7.133 Å and the angles 90.00°, 90.00° and 90.00°. Symmetry generates all atoms from Na at (0.000, 0.000, 0.000), Sm at (0.000, 0.000, 0.500), Zn at (0.250, 0.250, 0.250) and Au at (0.250, 0.250, 0.750).

=====

First-principles (PBE) data for a relaxed PRhCl2 crystal, as listed in the Alexandria database.

The calculation puts the calculated total energy at -4.21 eV/atom. The value obtained for the spin magnetization is 0.0 μB per cell. Its formation energy without anion corrections is -0.097 eV/atom.

The structure belongs to space group C2/m (No. 12); the cell edges are 15.044, 3.121 and 3.683 Å and the angles 90.00°, 94.01° and 90.00°. Symmetry generates all atoms from P at (0.000, 0.000, 0.000), Rh at (0.000, 0.500, 0.500) and Cl at (0.145, 0.000, 0.232).

=====

First-principles (PBE) data for a relaxed Pr4Cd3Hg2 crystal, as listed in the Alexandria database.

For the energy of formation, the calculation gives -0.34 eV per atom. The calculation puts the calculated total energy at -2.83 eV/atom. The value obtained for the spin magnetization is 2.6 μB per cell.

The structure belongs to space group C2/m (No. 12); the cell edges are 9.212, 5.320 and 10.394 Å and the angles 90.00°, 90.05° and 90.00°. Symmetry generates all atoms from Pr at (0.000, 0.000, 0.166), Pr at (0.167, 0.500, 0.385), Cd at (0.000, 0.000, 0.500), Cd at (0.167, 0.500, 0.015) and Hg at (0.167, 0.500, 0.703).

=====

First-principles (PBE) data for a relaxed PrSb3Pd3 crystal, as listed in the Alexandria database.

The calculation puts the calculated total energy at -5.19 eV/atom. The value obtained for the spin magnetization is 0.0 μB per cell. Its formation energy without anion corrections is -0.514 eV/atom.

The structure belongs to space group R-3 (No. 148, hexagonal axes); the cell edges are 8.2123, 8.2123 and 17.8036 Å and the angles 90.00°, 90.00° and 120.00°. Symmetry generates all atoms from Pr at (0.0000, 0.0000, 0.1673), Sb at (0.0021, 0.3104, 0.5917) and Pd at (0.0020, 0.3500, 0.4109).

=====

Q: spin magnetization of number 1 (Mn3Al2)?
A: 8.3 μB per cell

=====

What did the fifth record say?
First-principles (PBE) data for a relaxed BaSrH2Ru crystal, as listed in the Alexandria database.

The calculation puts the calculated total energy at -3.22 eV/atom. The value obtained for the spin magnetization is 1.9 μB per cell.

The structure belongs to space group P4/mmm (No. 123); the cell edges are 4.476, 4.476 and 9.608 Å and the angles 90.00°, 90.00° and 90.00°. Symmetry generates all atoms from Ba at (0.000, 0.000, 0.000), Sr at (0.000, 0.000, 0.500), H at (0.000, 0.500, 0.500) and Ru at (0.500, 0.500, 0.000).